Model w:
PBE-GGA AgBr2F, optimized geometry; N(E_F) = 6.75 states/eV/cell
1.0
0.000 3.371 3.371
3.371 0.000 3.371
3.371 3.371 0.000
Ag Br F
1 2 1
Direct
0.000 0.000 0.000 Ag
0.250 0.250 0.250 Br
0.750 0.750 0.750 Br
0.500 0.500 0.500 F


Model x:
PBE-GGA AgBr2F, optimized geometry; N(E_F) = 0.76 states/eV/cell
1.0
2.104 1.215 7.268
-2.104 1.215 7.268
0.000 -2.429 7.268
Ag Br F
1 2 1
Direct
0.000 0.000 0.000 Ag
0.401 0.401 0.401 Br
0.599 0.599 0.599 Br
0.500 0.500 0.500 F


Model y:
PBE-GGA AgBr2F, optimized geometry; N(E_F) = 1.02 states/eV/cell
1.0
4.104 0.000 0.000
1.954 3.625 0.000
1.411 -0.377 14.813
Ag Br F
2 4 2
Direct
0.192 0.184 0.409 Ag
0.808 0.816 0.591 Ag
0.210 0.269 0.238 Br
0.495 0.026 0.914 Br
0.505 0.974 0.086 Br
0.790 0.731 0.762 Br
0.146 0.173 0.568 F
0.854 0.827 0.432 F


Model z:
PBE-GGA AgBr2F, optimized geometry; N(E_F) = 1.39 states/eV/cell
1.0
-2.877 2.877 6.759
2.877 -2.877 6.759
2.877 2.877 -6.759
Ag Br F
2 4 2
Direct
0.000 0.000 0.000 Ag
0.750 0.250 0.500 Ag
0.131 0.625 0.006 Br
0.375 0.381 0.506 Br
0.619 0.125 0.994 Br
0.875 0.869 0.494 Br
0.250 0.750 0.500 F
0.500 0.500 0.000 F


Compare the structures above. Which one is the most stable? model y is.